Entry 1:
Crystalline DyY5Sc at its relaxed geometry. Source: the Alexandria database, functional PBE-GGA.

Output
The value obtained for the total magnetic moment is 0.00 μB/atom. As for the formation energy: 0.27 eV/f.u. The density of states at the Fermi level is 10.9 states/eV/cell. The space group is Cm, No. 8.

abc: 6.1050 6.1050 7.8807
angles: 97.45 97.45 48.21
Sites, in units of the cell vectors:
Dy 0.0000 0.0000 0.0000
Y 0.2860 0.2860 0.8486
Y 0.4295 0.4295 0.2840
Y 0.5730 0.5730 0.7073
Y 0.7126 0.7126 0.1406
Y 0.8572 0.8572 0.5637
Sc 0.1431 0.1431 0.4234

Entry 2:
Crystalline Dy3YSc7 at its relaxed geometry. Source: the Alexandria database, functional PBE-GGA.

Output
The value obtained for the total magnetic moment is 0.03 μB/atom. As for the formation energy: 3.24 eV/f.u. The density of states at the Fermi level is 16.2 states/eV/cell. The space group is C2/m, No. 12.

abc: 7.9645 7.9645 5.4445
angles: 109.93 109.93 81.82
Sites, in units of the cell vectors:
Dy 0.0000 0.0000 0.0000
Dy 0.2117 0.7883 0.5000
Dy 0.7883 0.2117 0.5000
Y 0.5000 0.5000 0.0000
Sc 0.0275 0.4077 0.2174
Sc 0.2067 0.2067 0.7063
Sc 0.4077 0.0275 0.2174
Sc 0.5000 0.5000 0.5000
Sc 0.5923 0.9725 0.7826
Sc 0.7933 0.7933 0.2937
Sc 0.9725 0.5923 0.7826

Entry 3:
Crystalline Dy3Y8Sc at its relaxed geometry. Source: the Alexandria database, functional PBE-GGA.

Output
The value obtained for the total magnetic moment is 0.00 μB/atom. As for the formation energy: 7.56 eV/f.u. The density of states at the Fermi level is 21.4 states/eV/cell. The space group is I-42m, No. 121.

abc: 8.3651 8.3651 8.3651
angles: 117.82 117.82 93.82
Sites, in units of the cell vectors:
Dy 0.0000 0.0000 0.0000
Dy 0.2500 0.7500 0.5000
Dy 0.7500 0.2500 0.5000
Y 0.1337 0.3904 0.0000
Y 0.2387 0.2387 0.5326
Y 0.2939 0.7613 0.0000
Y 0.3904 0.1337 0.0000
Y 0.6096 0.6096 0.7432
Y 0.7061 0.7061 0.4674
Y 0.7613 0.2939 0.0000
Y 0.8663 0.8663 0.2568
Sc 0.5000 0.5000 0.0000

Entry 4:
Crystalline DyY7Sc4 at its relaxed geometry. Source: the Alexandria database, functional PBE-GGA.

Output
The value obtained for the total magnetic moment is 0.00 μB/atom. As for the formation energy: 1.31 eV/f.u. The density of states at the Fermi level is 20.7 states/eV/cell. The space group is P-1, No. 2.

abc: 6.3813 6.5112 8.9220
angles: 89.67 76.31 83.98
Sites, in units of the cell vectors:
Dy 0.0000 0.0000 0.0000
Y 0.0000 0.5000 0.0000
Y 0.1944 0.1290 0.4000
Y 0.3024 0.6762 0.6305
Y 0.4812 0.2538 0.0546
Y 0.5188 0.7462 0.9454
Y 0.6976 0.3238 0.3695
Y 0.8056 0.8710 0.6000
Sc 0.1584 0.6393 0.2952
Sc 0.3697 0.1771 0.7185
Sc 0.6303 0.8229 0.2815
Sc 0.8416 0.3607 0.7048

Entry 5:
Crystalline Dy6Y3Sc at its relaxed geometry. Source: the Alexandria database, functional PBE-GGA.

Output
The calculation puts the energy above the most stable polymorph in this dataset at 117.9 meV/atom. The value obtained for the total magnetic moment is 0.15 μB/atom. As for the formation energy: 2.56 eV/f.u. The density of states at the Fermi level is 20.2 states/eV/cell. The space group is R3, No. 146.

abc: 6.8384 6.8384 6.8384
angles: 91.00 91.00 91.00
Sites, in units of the cell vectors:
Dy 0.0015 0.6757 0.3228
Dy 0.1629 0.5106 0.8307
Dy 0.3228 0.0015 0.6757
Dy 0.5106 0.8307 0.1629
Dy 0.6757 0.3228 0.0015
Dy 0.8307 0.1629 0.5106
Y 0.1556 0.1556 0.1556
Y 0.4058 0.4058 0.4058
Y 0.6641 0.6641 0.6641
Sc 0.9086 0.9086 0.9086

Entry 6:
Crystalline DyY14Sc at its relaxed geometry. Source: the Alexandria database, functional PBE-GGA.

Output
The value obtained for the total magnetic moment is 0.00 μB/atom. As for the formation energy: 0.48 eV/f.u. The density of states at the Fermi level is 22.5 states/eV/cell. The space group is P4/mmm, No. 123.

abc: 7.1076 7.1076 10.0195
angles: 90.00 90.00 90.00
Sites, in units of the cell vectors:
Dy 0.0000 0.0000 0.0000
Y 0.0000 0.0000 0.5000
Y 0.0000 0.5000 0.0000
Y 0.0000 0.5000 0.5000
Y 0.2515 0.2515 0.2469
Y 0.2515 0.2515 0.7531
Y 0.2515 0.7485 0.2469
Y 0.2515 0.7485 0.7531
Y 0.5000 0.0000 0.0000
Y 0.5000 0.0000 0.5000
Y 0.5000 0.5000 0.5000
Y 0.7485 0.2515 0.2469
Y 0.7485 0.2515 0.7531
Y 0.7485 0.7485 0.2469
Y 0.7485 0.7485 0.7531
Sc 0.5000 0.5000 0.0000

Entry 7:
Crystalline Dy3Y4Sc2 at its relaxed geometry. Source: the Alexandria database, functional PBE-GGA.

Output
The calculation puts the energy above the most stable polymorph in this dataset at 38.7 meV/atom. The value obtained for the total magnetic moment is 0.00 μB/atom. As for the formation energy: 0.98 eV/f.u. The density of states at the Fermi level is 31.6 states/eV/cell. The space group is C2/c, No. 15.

abc: 9.9601 9.9601 5.8881
angles: 96.22 96.22 70.62
Sites, in units of the cell vectors:
Dy 0.1102 0.8898 0.7500
Dy 0.1823 0.4730 0.9195
Dy 0.4730 0.1823 0.4195
Dy 0.5270 0.8177 0.5805
Dy 0.8177 0.5270 0.0805
Dy 0.8898 0.1102 0.2500
Y 0.1107 0.3213 0.3797
Y 0.3189 0.5581 0.4686
Y 0.3213 0.1107 0.8797
Y 0.4419 0.6811 0.0314
Y 0.5581 0.3189 0.9686
Y 0.6787 0.8893 0.1203
Y 0.6811 0.4419 0.5314
Y 0.8893 0.6787 0.6203
Sc 0.0304 0.7630 0.1932
Sc 0.2370 0.9696 0.3068
Sc 0.7630 0.0304 0.6932
Sc 0.9696 0.2370 0.8068

Entry 8:
Crystalline DyY2Sc6 at its relaxed geometry. Source: the Alexandria database, functional PBE-GGA.

Output
The value obtained for the total magnetic moment is 0.00 μB/atom. As for the formation energy: 0.60 eV/f.u. The density of states at the Fermi level is 19.2 states/eV/cell. The space group is P6/mmm, No. 191.

abc: 9.1875 9.1875 3.3082
angles: 90.00 90.00 120.00
Sites, in units of the cell vectors:
Dy 0.0000 0.0000 0.0000
Y 0.3333 0.6667 0.0000
Y 0.6667 0.3333 0.0000
Sc 0.0000 0.3331 0.5000
Sc 0.0000 0.6669 0.5000
Sc 0.3331 0.0000 0.5000
Sc 0.3331 0.3331 0.5000
Sc 0.6669 0.0000 0.5000
Sc 0.6669 0.6669 0.5000